i | DFT (PBE) results for a geometry-optimized DyHoGa2 structure.

a = 7.1239 Å, b = 7.1239 Å, c = 7.1239 Å
α = 90.00°, β = 90.00°, γ = 90.00°
Last column: nearest neighbours and their distance in Å.
Space group Fm-3m (No. 225)
One atom of each set of equivalent atoms:
Dy 0.0000 0.0000 0.0000 (multiplicity 4)  8 Ga 3.08
Ho 0.0000 0.0000 0.5000 (multiplicity 4)  8 Ga 3.08
Ga 0.2500 0.2500 0.2500 (multiplicity 8)  4 Dy 3.08, 4 Ho 3.08

Properties
The spin magnetization comes out at 0.00 μB per formula unit. Its density of states at the Fermi level is 5.528 states/eV per cell. As for the mass density: 8.6 Mg/m³.


ii | DFT (PBE) results for a geometry-optimized DyHoGa2 structure.

a = 4.0338 Å, b = 4.3539 Å, c = 10.8636 Å
α = 90.00°, β = 90.00°, γ = 90.00°
Last column: nearest neighbours and their distance in Å.
Space group Amm2 (No. 38)
One atom of each set of equivalent atoms:
Dy 0.0000 0.0000 0.0000 (multiplicity 2)  7 Ga 3.04-3.21
Ho 0.5000 0.0000 0.2783 (multiplicity 2)  7 Ga 3.04-3.20
Ga 0.0000 0.0000 0.7167 (multiplicity 2)  2 Ga 2.62
Ga 0.5000 0.0000 0.5624 (multiplicity 2)  2 Ga 2.62

Properties
The spin magnetization comes out at 0.00 μB per formula unit. Its density of states at the Fermi level is 6.094 states/eV per cell. As for the mass density: 8.1 Mg/m³.


Which structure wins on stability? ii wins.


i | DFT (PBE) results for a geometry-optimized DyHo3Ga4 structure.

a = 5.0265 Å, b = 5.0265 Å, c = 24.6995 Å
α = 90.00°, β = 90.00°, γ = 120.00°
Last column: nearest neighbours and their distance in Å.
Space group R-3m (No. 166, hexagonal axes)
One atom of each set of equivalent atoms:
Dy 0.0000 0.0000 0.0000 (multiplicity 3)  8 Ga 3.08-3.09
Ho 0.0000 0.0000 0.2499 (multiplicity 6)  8 Ga 3.08-3.10
Ho 0.0000 0.0000 0.5000 (multiplicity 3)  8 Ga 3.08
Ga 0.0000 0.0000 0.1252 (multiplicity 6)  7 Ho 3.08, 1 Dy 3.09
Ga 0.0000 0.0000 0.3752 (multiplicity 6)  5 Ho 3.08-3.10, 3 Dy 3.08

Properties
The spin magnetization comes out at 0.00 μB per formula unit. Its density of states at the Fermi level is 8.968 states/eV per cell. As for the mass density: 8.6 Mg/m³.


ii | DFT (PBE) results for a geometry-optimized DyHo3Ga4 structure.

a = 3.5626 Å, b = 6.7275 Å, c = 16.5183 Å
α = 90.00°, β = 90.00°, γ = 90.00°
Last column: nearest neighbours and their distance in Å.
Space group Immm (No. 71)
One atom of each set of equivalent atoms:
Dy 0.0000 0.0000 0.0000 (multiplicity 2)  4 Ga 2.98
Ho 0.0000 0.0000 0.5000 (multiplicity 2)  8 Ga 3.07
Ho 0.0000 0.5000 0.2976 (multiplicity 4)  6 Ga 2.98-3.06
Ga 0.0000 0.3076 0.1298 (multiplicity 8)  1 Ga 2.59

Properties
The spin magnetization comes out at 0.00 μB per formula unit. Its density of states at the Fermi level is 8.497 states/eV per cell. As for the mass density: 7.9 Mg/m³.


Which structure wins on stability? i wins.


i | DFT (PBE) results for a geometry-optimized DyHoInGa structure.

a = 3.5682 Å, b = 3.5682 Å, c = 7.7125 Å
α = 90.00°, β = 90.00°, γ = 90.00°
Last column: nearest neighbours and their distance in Å.
Space group P4mm (No. 99)
One atom of each set of equivalent atoms:
Dy 0.0000 0.0000 0.0000 (multiplicity 1)  4 Ga 3.11, 4 In 3.26
Ho 0.0000 0.0000 0.4686 (multiplicity 1)  4 Ga 3.10, 4 In 3.24
In 0.5000 0.5000 0.7329 (multiplicity 1)  4 Ho 3.24, 4 Dy 3.26, 4 In 3.57
Ga 0.5000 0.5000 0.2356 (multiplicity 1)  4 Ho 3.10, 4 Dy 3.11

Properties
The spin magnetization comes out at 0.00 μB per formula unit. Its density of states at the Fermi level is 1.728 states/eV per cell. As for the mass density: 8.7 Mg/m³.


ii | DFT (PBE) results for a geometry-optimized DyHoInGa structure.

a = 7.3321 Å, b = 7.3321 Å, c = 7.3321 Å
α = 90.00°, β = 90.00°, γ = 90.00°
Last column: nearest neighbours and their distance in Å.
Space group F-43m (No. 216)
One atom of each set of equivalent atoms:
Dy 0.0000 0.0000 0.0000 (multiplicity 4)  4 In 3.17, 4 Ga 3.17
Ho 0.0000 0.0000 0.5000 (multiplicity 4)  4 In 3.17, 4 Ga 3.17
In 0.2500 0.2500 0.7500 (multiplicity 4)  4 Dy 3.17, 4 Ho 3.17
Ga 0.2500 0.2500 0.2500 (multiplicity 4)  4 Dy 3.17, 4 Ho 3.17

Properties
The spin magnetization comes out at 0.00 μB per formula unit. Its density of states at the Fermi level is 5.448 states/eV per cell. As for the mass density: 8.6 Mg/m³.


Which structure wins on stability? i wins.


i | DFT (PBE) results for a geometry-optimized DyHoGaRu structure.

a = 4.2802 Å, b = 3.9102 Å, c = 10.6645 Å
α = 90.00°, β = 90.00°, γ = 90.00°
Last column: nearest neighbours and their distance in Å.
Space group Amm2 (No. 38)
One atom of each set of equivalent atoms:
Dy 0.0000 0.0000 0.0000 (multiplicity 2)  4 Ga 3.02, 3 Ru 3.02-3.03
Ho 0.5000 0.0000 0.2855 (multiplicity 2)  3 Ga 2.95-3.12, 4 Ru 2.99
Ga 0.5000 0.0000 0.5779 (multiplicity 2)  2 Ru 2.60
Ru 0.0000 0.0000 0.7161 (multiplicity 2)  2 Ga 2.60

Properties
The spin magnetization comes out at 0.00 μB per formula unit. Its density of states at the Fermi level is 6.452 states/eV per cell. As for the mass density: 9.3 Mg/m³.


ii | DFT (PBE) results for a geometry-optimized DyHoGaRu structure.

a = 6.9574 Å, b = 6.9574 Å, c = 6.9574 Å
α = 90.00°, β = 90.00°, γ = 90.00°
Last column: nearest neighbours and their distance in Å.
Space group F-43m (No. 216)
One atom of each set of equivalent atoms:
Dy 0.0000 0.0000 0.0000 (multiplicity 4)  4 Ru 3.01, 4 Ga 3.01
Ho 0.0000 0.0000 0.5000 (multiplicity 4)  4 Ru 3.01, 4 Ga 3.01
Ga 0.2500 0.2500 0.2500 (multiplicity 4)  4 Dy 3.01, 4 Ho 3.01
Ru 0.2500 0.2500 0.7500 (multiplicity 4)  4 Dy 3.01, 4 Ho 3.01

Properties
The spin magnetization comes out at 0.00 μB per formula unit. Its density of states at the Fermi level is 9.077 states/eV per cell. As for the mass density: 9.8 Mg/m³.


Which structure wins on stability? i wins.


i | DFT (PBE) results for a geometry-optimized Dy4In2Ga structure.

a = 5.1880 Å, b = 5.1880 Å, c = 25.4662 Å
α = 90.00°, β = 90.00°, γ = 120.00°
Last column: nearest neighbours and their distance in Å.
Space group R-3m (No. 166, hexagonal axes)
One atom of each set of equivalent atoms:
Dy 0.0000 0.0000 0.1241 (multiplicity 6)  3 Ga 3.19, 4 In 3.19-3.26
Dy 0.0000 0.0000 0.3754 (multiplicity 6)  4 In 3.14-3.16, 1 Ga 3.17
In 0.0000 0.0000 0.2522 (multiplicity 6)  8 Dy 3.14-3.26
Ga 0.0000 0.0000 0.5000 (multiplicity 3)  8 Dy 3.17-3.19

Properties
The spin magnetization comes out at 0.00 μB per formula unit. Its density of states at the Fermi level is 21.298 states/eV per cell. As for the mass density: 8.0 Mg/m³.


ii | DFT (PBE) results for a geometry-optimized Dy4In2Ga structure.

a = 7.7616 Å, b = 3.5584 Å, c = 7.9885 Å
α = 90.00°, β = 114.74°, γ = 90.00°
Last column: nearest neighbours and their distance in Å.
Space group P2/m (No. 10)
One atom of each set of equivalent atoms:
Dy 0.0703 0.0000 0.3180 (multiplicity 2)  1 Ga 3.03, 4 In 3.27-3.36
Dy 0.3612 0.5000 0.7230 (multiplicity 2)  2 Ga 3.02, 2 In 3.10-3.21
In 0.2049 0.5000 0.0367 (multiplicity 2)  1 In 2.98, 4 Dy 3.10-3.27
Ga 0.5000 0.0000 0.5000 (multiplicity 1)  6 Dy 3.02-3.03

Properties
The spin magnetization comes out at 0.00 μB per formula unit. Its density of states at the Fermi level is 7.378 states/eV per cell. As for the mass density: 7.9 Mg/m³.


Which structure wins on stability? i wins.


i | DFT (PBE) results for a geometry-optimized DyInGa structure.

a = 3.4699 Å, b = 3.4699 Å, c = 11.7485 Å
α = 90.00°, β = 90.00°, γ = 90.00°
Last column: nearest neighbours and their distance in Å.
Space group I4mm (No. 107)
One atom of each set of equivalent atoms:
Dy 0.0000 0.0000 0.0000 (multiplicity 2)  4 Ga 3.10, 4 In 3.34, 4 Dy 3.47
In 0.0000 0.0000 0.3072 (multiplicity 2)  4 Ga 2.99, 4 Dy 3.34
Ga 0.0000 0.0000 0.6617 (multiplicity 2)  4 In 2.99, 4 Dy 3.10

Properties
The spin magnetization comes out at 0.00 μB per formula unit. Its density of states at the Fermi level is 5.597 states/eV per cell. As for the mass density: 8.1 Mg/m³.


ii | DFT (PBE) results for a geometry-optimized DyInGa structure.

a = 6.6882 Å, b = 6.6882 Å, c = 6.6882 Å
α = 90.00°, β = 90.00°, γ = 90.00°
Last column: nearest neighbours and their distance in Å.
Space group F-43m (No. 216)
One atom of each set of equivalent atoms:
Dy 0.0000 0.0000 0.0000 (multiplicity 4)  4 Ga 2.90
In 0.0000 0.0000 0.5000 (multiplicity 4)  4 Ga 2.90
Ga 0.2500 0.2500 0.7500 (multiplicity 4)  4 In 2.90, 4 Dy 2.90

Properties
The spin magnetization comes out at 0.00 μB per formula unit. Its density of states at the Fermi level is 5.786 states/eV per cell. As for the mass density: 7.7 Mg/m³.


Which structure wins on stability? ii wins.


i | DFT (PBE) results for a geometry-optimized DyInGa structure.

a = 4.7237 Å, b = 4.7237 Å, c = 3.5495 Å
α = 90.00°, β = 90.00°, γ = 120.00°
Last column: nearest neighbours and their distance in Å.
Space group P3m1 (No. 156)
One atom of each set of equivalent atoms:
Dy 0.0000 0.0000 0.0000 (multiplicity 1)  6 Ga 3.17-3.34, 6 In 3.22-3.29, 2 Dy 3.55
In 0.3333 0.6667 0.4833 (multiplicity 1)  3 Ga 2.74
Ga 0.6667 0.3333 0.5450 (multiplicity 1)  3 In 2.74

Properties
The spin magnetization comes out at 0.00 μB per formula unit. Its density of states at the Fermi level is 0.464 states/eV per cell. As for the mass density: 8.4 Mg/m³.


ii | DFT (PBE) results for a geometry-optimized DyInGa structure.

a = 3.4778 Å, b = 17.7379 Å, c = 4.7493 Å
α = 90.00°, β = 90.00°, γ = 90.00°
Last column: nearest neighbours and their distance in Å.
Space group Cmcm (No. 63)
One atom of each set of equivalent atoms:
Dy 0.0000 0.1390 0.2500 (multiplicity 4)  5 Ga 2.89-3.12
In 0.0000 0.4563 0.2500 (multiplicity 4)  1 Ga 2.73, 2 In 2.84
Ga 0.0000 0.3022 0.2500 (multiplicity 4)  1 In 2.73, 1 Dy 2.89

Properties
The spin magnetization comes out at 0.00 μB per formula unit. Its density of states at the Fermi level is 5.917 states/eV per cell. As for the mass density: 7.9 Mg/m³.


Which structure wins on stability? i wins.


i | DFT (PBE) results for a geometry-optimized DyIn2Ga structure.

a = 5.1572 Å, b = 5.1572 Å, c = 13.0633 Å
α = 90.00°, β = 90.00°, γ = 120.00°
Last column: nearest neighbours and their distance in Å.
Space group R-3m (No. 166, hexagonal axes)
One atom of each set of equivalent atoms:
Dy 0.0000 0.0000 0.0000 (multiplicity 3)  8 In 3.18-3.23
In 0.0000 0.0000 0.2470 (multiplicity 6)  4 Ga 3.16-3.30, 4 Dy 3.18-3.23
Ga 0.0000 0.0000 0.5000 (multiplicity 3)  8 In 3.16-3.30

Properties
The spin magnetization comes out at 0.00 μB per formula unit. Its density of states at the Fermi level is 9.045 states/eV per cell. As for the mass density: 7.6 Mg/m³.


ii | DFT (PBE) results for a geometry-optimized DyIn2Ga structure.

a = 4.4641 Å, b = 4.4641 Å, c = 4.6673 Å
α = 90.00°, β = 90.00°, γ = 90.00°
Last column: nearest neighbours and their distance in Å.
Space group P4/mmm (No. 123)
One atom of each set of equivalent atoms:
Dy 0.0000 0.0000 0.0000 (multiplicity 1)  4 Ga 3.16, 8 In 3.23
In 0.0000 0.5000 0.5000 (multiplicity 2)  4 In 3.16, 4 Ga 3.23, 4 Dy 3.23
Ga 0.5000 0.5000 0.0000 (multiplicity 1)  4 Dy 3.16, 8 In 3.23

Properties
The spin magnetization comes out at 0.00 μB per formula unit. Its density of states at the Fermi level is 1.594 states/eV per cell. As for the mass density: 8.2 Mg/m³.


Which structure wins on stability? ii wins.